Here is a relaxed structure of ScAlV4 from Alexandria. Energies are from PBE.

crystal system = cubic
calculated volume = 15.60 A^3/atom
E_form = 0.368 eV per formula unit
DFT total energy = -7.70 eV/atom

Structure (CIF):
```
data_ScAlV4
_chemical_formula_sum 'Sc1 Al1 V4'
_cell_length_a 5.097
_cell_length_b 5.097
_cell_length_c 5.097
_cell_angle_alpha 60.00
_cell_angle_beta 60.00
_cell_angle_gamma 60.00
_space_group_name_H-M_alt 'P 1'
_space_group_IT_number 1
_space_group_name_Hall 'P 1'
loop_
_atom_site_label
_atom_site_fract_x
_atom_site_fract_y
_atom_site_fract_z
V1 0.134 0.622 0.622
V2 0.622 0.622 0.134
V3 0.622 0.622 0.622
V4 0.622 0.134 0.622
Al1 0.000 0.000 0.000
Sc1 0.250 0.250 0.250
```